a | ## La2NdZr (PBE-GGA)

Data for a geometry-optimized La2NdZr structure.

The structure in POSCAR format:
```
La2NdZr
1.0
-0.3075 -2.6438 3.1590
3.9067 -1.1917 -0.6170
2.3787 5.3570 4.7149
Zr Nd La
1 1 2
direct
0.5000 0.5000 0.0000
0.5000 0.5000 0.5000
0.0000 0.0000 0.7794
0.0000 0.0000 0.2206
```

As for the space group: P4/mmm (123). Its total magnetization is 0.000 μB/atom.

b | ## La2NdZr (PBE-GGA)

Data for a geometry-optimized La2NdZr structure.

The structure in POSCAR format:
```
La2NdZr
1.0
3.5517 0.0000 0.0000
1.7759 3.0759 0.0000
1.7759 1.0253 11.7331
Zr Nd La
1 1 2
direct
0.4996 0.4996 0.5012
0.6683 0.6683 0.9950
0.0886 0.0886 0.7342
0.2434 0.2434 0.2697
```

As for the space group: R3m (160). Its total magnetization is 0.000 μB/atom.

Name the least stable of them. a.

a | ## La5Ni (PBE-GGA)

Data for a geometry-optimized La5Ni structure.

The structure in POSCAR format:
```
La5Ni
1.0
1.8628 -8.6213 0.0000
1.8628 8.6213 0.0000
0.0000 0.0000 5.9575
La Ni
5 1
direct
0.0027 0.9973 0.0000
0.6534 0.3466 0.0000
0.4874 0.5126 0.5000
0.3293 0.6707 0.0000
0.7460 0.2540 0.5000
0.1145 0.8855 0.5000
```

As for the space group: Amm2 (38). Its total magnetization is 0.000 μB/atom.

b | ## La5Ni (PBE-GGA)

Data for a geometry-optimized La5Ni structure.

The structure in POSCAR format:
```
La5Ni
1.0
0.0000 4.6047 4.6047
4.6047 0.0000 4.6047
4.6047 4.6047 0.0000
La Ni
5 1
direct
0.2500 0.2500 0.2500
0.6274 0.6274 0.1178
0.6274 0.1178 0.6274
0.6274 0.6274 0.6274
0.1178 0.6274 0.6274
0.0000 0.0000 0.0000
```

As for the space group: F-43m (216). Its total magnetization is 0.024 μB/atom.

c | ## La5Ni (PBE-GGA)

Data for a geometry-optimized La5Ni structure.

The structure in POSCAR format:
```
La5Ni
1.0
-3.5305 3.5670 4.1357
-1.4898 1.2577 6.2041
5.0629 6.7619 2.5544
La Ni
5 1
direct
0.6812 0.6812 0.6364
0.3021 0.3021 0.2507
0.0143 0.0143 0.4212
0.0662 0.0662 0.0042
0.3694 0.3694 0.8079
0.7335 0.7335 0.0462
```

As for the space group: Cm (8). Its total magnetization is 0.000 μB/atom.

Name the least stable of them. b.

a | ## La5Ni (PBE-GGA)

Data for a geometry-optimized La5Ni structure.

The structure in POSCAR format:
```
La5Ni
1.0
3.2136 -5.5661 0.0000
3.2136 5.5661 0.0000
0.0000 0.0000 5.1205
La Ni
5 1
direct
0.2851 0.2851 0.0000
0.7149 0.0000 0.0000
0.0000 0.7149 0.0000
0.3333 0.6667 0.5000
0.6667 0.3333 0.5000
0.0000 0.0000 0.5000
```

As for the space group: P-62m (189). Its total magnetization is 0.000 μB/atom.

b | ## La5Ni (PBE-GGA)

Data for a geometry-optimized La5Ni structure.

The structure in POSCAR format:
```
La5Ni
1.0
3.7518 -0.0924 0.0000
-1.6656 9.7475 0.0000
0.0000 0.0000 10.6752
La Ni
10 2
direct
0.1388 0.2807 0.2500
0.0621 0.1261 0.7500
0.9379 0.8739 0.2500
0.8612 0.7193 0.7500
0.5000 0.0000 0.5000
0.6848 0.3719 0.5649
0.3152 0.6281 0.4351
0.5000 0.0000 0.0000
0.6848 0.3719 0.9351
0.3152 0.6281 0.0649
0.2426 0.4847 0.7500
0.7574 0.5153 0.2500
```

As for the space group: P2_1/m (11). Its total magnetization is 0.000 μB/atom.

Name the least stable of them. a.